[1]
VASP calculation (PBE) on Ba2Zn3SnGe4 after structural relaxation.

a = 4.731 Å, b = 4.731 Å, c = 10.675 Å
α = 90.00°, β = 90.00°, γ = 90.00°
Space group P-4m2 (No. 115)
Symmetry-distinct sites (fractional):
Ba1 0.000 0.500 0.237 x2
Zn1 0.000 0.500 0.884 x2
Zn2 0.500 0.500 0.500 x1
Sn1 0.000 0.000 0.500 x1
Ge1 0.000 0.000 0.000 x1
Ge2 0.000 0.500 0.640 x2
Ge3 0.500 0.500 0.000 x1

V (Å³/cell): 239
Crystal system: tetragonal
Formation energy from the elements (eV per formula unit): -3.32

[2]
VASP calculation (PBE) on CaYMo3 after structural relaxation.

a = 4.957 Å, b = 4.957 Å, c = 4.957 Å
α = 90.00°, β = 90.00°, γ = 90.00°
Space group Pm-3m (No. 221)
Symmetry-distinct sites (fractional):
Ca1 0.000 0.000 0.000 x1
Y1 0.500 0.500 0.500 x1
Mo1 0.000 0.500 0.500 x3

V (Å³/cell): 122
Crystal system: cubic
Energy above the lowest structure with this stoichiometry (kJ/mol of formula units): 0.0
Formation energy from the elements (eV per formula unit): 10.18

[3]
VASP calculation (PBE) on KMnNiH4 after structural relaxation.

a = 5.089 Å, b = 4.381 Å, c = 6.324 Å
α = 90.00°, β = 95.61°, γ = 90.00°
Space group P2_1/m (No. 11)
Symmetry-distinct sites (fractional):
K1 0.247 0.250 0.425 x2
Mn1 0.388 0.750 0.022 x2
Ni1 0.115 0.250 0.923 x2
H1 0.089 0.750 0.895 x2
H2 0.188 0.750 0.220 x2
H3 0.393 0.022 0.828 x4

V (Å³/cell): 140
Crystal system: monoclinic

[4]
VASP calculation (PBE) on BaMg2HgBr8 after structural relaxation.

a = 6.682 Å, b = 6.992 Å, c = 8.383 Å
α = 90.08°, β = 90.10°, γ = 92.06°
Space group P-1 (No. 2)
Symmetry-distinct sites (fractional):
Ba1 0.000 0.000 0.000 x1
Mg1 0.499 0.500 0.263 x2
Hg1 0.000 0.000 0.500 x1
Br1 0.269 0.167 0.723 x2
Br2 0.270 0.640 0.500 x2
Br3 0.271 0.167 0.277 x2
Br4 0.290 0.633 0.000 x2

Formation energy (no corrections) (meV/atom): -1291
V (Å³/cell): 391
Crystal system: triclinic

The following total energy values (in eV per atom) correspond, in order, to the records above: -3.346; -6.156; -4.232; -2.857.